Record 1
# Sr3In5Br12 (PBE-GGA, optimized geometry)
data_Sr3In5Br12
_space_group_name_H-M_alt 'P 1'
_space_group_IT_number 1
_space_group_name_Hall 'P 1'
_cell_length_a 15.966
_cell_length_b 15.966
_cell_length_c 15.966
_cell_angle_alpha 109.47
_cell_angle_beta 109.47
_cell_angle_gamma 109.47
loop_
_atom_site_label
_atom_site_type_symbol
_atom_site_fract_x
_atom_site_fract_y
_atom_site_fract_z
Br1 Br 0.773 0.440 0.369
Br2 Br 0.727 0.131 0.060
Br3 Br 0.596 0.869 0.429
Br4 Br 0.227 0.560 0.631
Br5 Br 0.096 0.929 0.369
Br6 Br 0.404 0.273 0.333
Br7 Br 0.833 0.929 0.060
Br8 Br 0.631 0.571 0.904
Br9 Br 0.071 0.904 0.131
Br10 Br 0.940 0.369 0.273
Br11 Br 0.667 0.440 0.571
Br12 Br 0.167 0.096 0.727
Br13 Br 0.096 0.167 0.227
Br14 Br 0.904 0.071 0.631
Br15 Br 0.060 0.429 0.833
Br16 Br 0.571 0.940 0.667
Br17 Br 0.060 0.631 0.727
Br18 Br 0.429 0.369 0.596
Br19 Br 0.131 0.404 0.071
Br20 Br 0.227 0.667 0.096
Br21 Br 0.167 0.071 0.940
Br22 Br 0.369 0.940 0.773
Br23 Br 0.429 0.060 0.333
Br24 Br 0.273 0.869 0.940
Br25 Br 0.667 0.227 0.596
Br26 Br 0.929 0.833 0.560
Br27 Br 0.940 0.571 0.167
Br28 Br 0.560 0.333 0.929
Br29 Br 0.560 0.227 0.131
Br30 Br 0.404 0.131 0.571
Br31 Br 0.904 0.833 0.773
Br32 Br 0.596 0.727 0.667
Br33 Br 0.571 0.631 0.404
Br34 Br 0.440 0.667 0.071
Br35 Br 0.131 0.727 0.560
Br36 Br 0.333 0.560 0.429
Br37 Br 0.869 0.273 0.440
Br38 Br 0.369 0.429 0.096
Br39 Br 0.333 0.773 0.404
Br40 Br 0.631 0.060 0.227
Br41 Br 0.071 0.167 0.440
Br42 Br 0.833 0.904 0.273
Br43 Br 0.929 0.096 0.869
Br44 Br 0.773 0.333 0.904
Br45 Br 0.440 0.773 0.869
Br46 Br 0.727 0.596 0.167
Br47 Br 0.273 0.404 0.833
Br48 Br 0.869 0.596 0.929
Sr1 Sr 0.875 0.750 0.125
Sr2 Sr 0.625 0.375 0.750
Sr3 Sr 0.125 0.875 0.750
Sr4 Sr 0.375 0.625 0.250
Sr5 Sr 0.375 0.750 0.625
Sr6 Sr 0.625 0.250 0.375
Sr7 Sr 0.250 0.625 0.875
Sr8 Sr 0.750 0.875 0.625
Sr9 Sr 0.750 0.375 0.125
Sr10 Sr 0.875 0.125 0.250
Sr11 Sr 0.125 0.250 0.875
Sr12 Sr 0.250 0.125 0.375
In1 In 0.750 0.625 0.375
In2 In 0.250 0.375 0.625
In3 In 0.750 0.125 0.875
In4 In 0.500 0.500 0.000
In5 In 0.375 0.125 0.750
In6 In 0.500 0.000 0.500
In7 In 0.125 0.750 0.375
In8 In 0.125 0.375 0.250
In9 In 0.625 0.750 0.875
In10 In 0.625 0.875 0.250
In11 In 0.875 0.250 0.625
In12 In 0.500 0.500 0.500
In13 In 0.250 0.875 0.125
In14 In 0.000 0.000 0.500
In15 In 0.000 0.500 0.000
In16 In 0.875 0.625 0.750
In17 In 0.500 0.000 0.000
In18 In 0.000 0.000 0.000
In19 In 0.000 0.500 0.500
In20 In 0.375 0.250 0.125
# Calculated volume (Å³ per atom): 39.2
# Energy relative to the elements, uncorrected (meV per atom): -1189
# Space group: Ia-3d
# Total energy (eV per atom): -3.13

Record 2
# YIn5 (PBE-GGA, optimized geometry)
data_YIn5
_space_group_name_H-M_alt 'P 1'
_space_group_IT_number 1
_space_group_name_Hall 'P 1'
_cell_length_a 5.851
_cell_length_b 5.851
_cell_length_c 5.434
_cell_angle_alpha 90.00
_cell_angle_beta 90.00
_cell_angle_gamma 120.00
loop_
_atom_site_label
_atom_site_type_symbol
_atom_site_fract_x
_atom_site_fract_y
_atom_site_fract_z
In1 In 0.658 0.000 0.000
In2 In 0.333 0.667 0.500
In3 In 0.342 0.342 0.000
In4 In 0.667 0.333 0.500
In5 In 0.000 0.658 0.000
Y1 Y 0.000 0.000 0.500
# Calculated volume (Å³ per atom): 26.9
# Space group: P-62m
# Energy of formation (meV per atom): -92
# Total energy (eV per atom): -3.45

Record 3
# Tb2GdBi (PBE-GGA, optimized geometry)
data_Tb2GdBi
_space_group_name_H-M_alt 'P 1'
_space_group_IT_number 1
_space_group_name_Hall 'P 1'
_cell_length_a 4.826
_cell_length_b 4.933
_cell_length_c 4.933
_cell_angle_alpha 90.00
_cell_angle_beta 90.00
_cell_angle_gamma 90.00
loop_
_atom_site_label
_atom_site_type_symbol
_atom_site_fract_x
_atom_site_fract_y
_atom_site_fract_z
Tb1 Tb 0.000 0.000 0.500
Tb2 Tb 0.000 0.500 0.000
Bi1 Bi 0.500 0.000 0.000
Gd1 Gd 0.500 0.500 0.500
# Calculated volume (Å³ per atom): 29.4
# Space group: P4/mmm
# Energy of formation (meV per atom): -375
# Total energy (eV per atom): -7.18

Record 4
# AlBSe2Br (PBE-GGA, optimized geometry)
data_AlBSe2Br
_space_group_name_H-M_alt 'P 1'
_space_group_IT_number 1
_space_group_name_Hall 'P 1'
_cell_length_a 4.888
_cell_length_b 4.888
_cell_length_c 5.087
_cell_angle_alpha 90.00
_cell_angle_beta 90.00
_cell_angle_gamma 90.00
loop_
_atom_site_label
_atom_site_type_symbol
_atom_site_fract_x
_atom_site_fract_y
_atom_site_fract_z
Se1 Se 0.500 0.000 0.000
Se2 Se 0.000 0.500 0.000
B1 B 0.500 0.500 0.500
Br1 Br 0.000 0.000 0.500
Al1 Al 0.000 0.000 0.000
# Calculated volume (Å³ per atom): 24.3
# Energy relative to the elements, uncorrected (meV per atom): 761
# Space group: P4/mmm
# Total energy (eV per atom): -3.05

Record 5
# Y5Ho4In4 (PBE-GGA, optimized geometry)
data_Y5Ho4In4
_space_group_name_H-M_alt 'P 1'
_space_group_IT_number 1
_space_group_name_Hall 'P 1'
_cell_length_a 5.070
_cell_length_b 8.992
_cell_length_c 8.992
_cell_angle_alpha 85.44
_cell_angle_beta 73.63
_cell_angle_gamma 73.63
loop_
_atom_site_label
_atom_site_type_symbol
_atom_site_fract_x
_atom_site_fract_y
_atom_site_fract_z
Y1 Y 0.312 0.090 0.285
Y2 Y 0.000 0.000 0.000
Y3 Y 0.598 0.715 0.090
Y4 Y 0.688 0.910 0.715
Y5 Y 0.402 0.285 0.910
In1 In 0.106 0.129 0.659
In2 In 0.765 0.341 0.129
In3 In 0.894 0.871 0.341
In4 In 0.235 0.659 0.871
Ho1 Ho 0.903 0.491 0.703
Ho2 Ho 0.394 0.703 0.509
Ho3 Ho 0.606 0.297 0.491
Ho4 Ho 0.097 0.509 0.297
# Calculated volume (Å³ per atom): 29.0
# Space group: I4/m
# Energy of formation (meV per atom): -344
# Total energy (eV per atom): -5.08

Record 6
# Na2HgRhN (PBE-GGA, optimized geometry)
data_Na2HgRhN
_space_group_name_H-M_alt 'P 1'
_space_group_IT_number 1
_space_group_name_Hall 'P 1'
_cell_length_a 5.125
_cell_length_b 5.125
_cell_length_c 3.737
_cell_angle_alpha 90.00
_cell_angle_beta 90.00
_cell_angle_gamma 90.00
loop_
_atom_site_label
_atom_site_type_symbol
_atom_site_fract_x
_atom_site_fract_y
_atom_site_fract_z
Hg1 Hg 0.500 0.500 0.500
Na1 Na 0.500 0.000 0.000
Na2 Na 0.000 0.500 0.000
N1 N 0.000 0.000 0.000
Rh1 Rh 0.000 0.000 0.500
# Calculated volume (Å³ per atom): 19.6
# Energy relative to the elements, uncorrected (meV per atom): -88
# Space group: P4/mmm
# Total energy (eV per atom): -3.81

Record 7
# ErThScOs (PBE-GGA, optimized geometry)
data_ErThScOs
_space_group_name_H-M_alt 'P 1'
_space_group_IT_number 1
_space_group_name_Hall 'P 1'
_cell_length_a 5.071
_cell_length_b 5.071
_cell_length_c 5.071
_cell_angle_alpha 60.00
_cell_angle_beta 60.00
_cell_angle_gamma 60.00
loop_
_atom_site_label
_atom_site_type_symbol
_atom_site_fract_x
_atom_site_fract_y
_atom_site_fract_z
Er1 Er 0.750 0.750 0.750
Th1 Th 0.250 0.250 0.250
Os1 Os 0.500 0.500 0.500
Sc1 Sc 0.000 0.000 0.000
# Calculated volume (Å³ per atom): 23.1
# Space group: F-43m
# Energy of formation (meV per atom): -34
# Total energy (eV per atom): -7.42

Record 8
# ZnCu2SiNi (PBE-GGA, optimized geometry)
data_ZnCu2SiNi
_space_group_name_H-M_alt 'P 1'
_space_group_IT_number 1
_space_group_name_Hall 'P 1'
_cell_length_a 4.333
_cell_length_b 4.308
_cell_length_c 4.333
_cell_angle_alpha 90.00
_cell_angle_beta 90.00
_cell_angle_gamma 90.00
loop_
_atom_site_label
_atom_site_type_symbol
_atom_site_fract_x
_atom_site_fract_y
_atom_site_fract_z
Cu1 Cu 0.500 0.000 0.000
Cu2 Cu 0.000 0.000 0.500
Ni1 Ni 0.000 0.000 0.000
Zn1 Zn 0.000 0.500 0.000
Si1 Si 0.500 0.500 0.500
# Calculated volume (Å³ per atom): 16.2
# Energy relative to the elements, uncorrected (meV per atom): 819
# Space group: P4/mmm
# Total energy (eV per atom): -3.31

Record 9
# AlGa2Pt2 (PBE-GGA, optimized geometry)
data_AlGa2Pt2
_space_group_name_H-M_alt 'P 1'
_space_group_IT_number 1
_space_group_name_Hall 'P 1'
_cell_length_a 4.000
_cell_length_b 4.000
_cell_length_c 6.275
_cell_angle_alpha 71.41
_cell_angle_beta 71.41
_cell_angle_gamma 90.00
loop_
_atom_site_label
_atom_site_type_symbol
_atom_site_fract_x
_atom_site_fract_y
_atom_site_fract_z
Pt1 Pt 0.750 0.250 0.500
Pt2 Pt 0.250 0.750 0.500
Al1 Al 0.000 0.000 0.000
Ga1 Ga 0.390 0.390 0.220
Ga2 Ga 0.610 0.610 0.780
# Calculated volume (Å³ per atom): 17.9
# Space group: I4/mmm
# Energy of formation (meV per atom): -235
# Total energy (eV per atom): -4.61

Record 10
# NaAcSmIn (PBE-GGA, optimized geometry)
data_NaAcSmIn
_space_group_name_H-M_alt 'P 1'
_space_group_IT_number 1
_space_group_name_Hall 'P 1'
_cell_length_a 5.690
_cell_length_b 5.690
_cell_length_c 5.690
_cell_angle_alpha 60.00
_cell_angle_beta 60.00
_cell_angle_gamma 60.00
loop_
_atom_site_label
_atom_site_type_symbol
_atom_site_fract_x
_atom_site_fract_y
_atom_site_fract_z
In1 In 0.750 0.750 0.750
Na1 Na 0.250 0.250 0.250
Ac1 Ac 0.500 0.500 0.500
Sm1 Sm 0.000 0.000 0.000
# Calculated volume (Å³ per atom): 32.6
# Space group: F-43m
# Energy of formation (meV per atom): -130
# Total energy (eV per atom): -3.35

Record 11
# NbAlC2 (PBE-GGA, optimized geometry)
data_NbAlC2
_space_group_name_H-M_alt 'P 1'
_space_group_IT_number 1
_space_group_name_Hall 'P 1'
_cell_length_a 4.763
_cell_length_b 4.763
_cell_length_c 5.822
_cell_angle_alpha 65.85
_cell_angle_beta 65.85
_cell_angle_gamma 90.00
loop_
_atom_site_label
_atom_site_type_symbol
_atom_site_fract_x
_atom_site_fract_y
_atom_site_fract_z
Nb1 Nb 0.750 0.250 0.500
Nb2 Nb 0.000 0.000 0.000
C1 C 0.375 0.378 0.750
C2 C 0.622 0.125 0.250
C3 C 0.128 0.625 0.250
C4 C 0.875 0.872 0.750
Al1 Al 0.500 0.500 0.000
Al2 Al 0.250 0.750 0.500
# Calculated volume (Å³ per atom): 13.5
# Space group: I-42d
# Energy of formation (meV per atom): 140
# Total energy (eV per atom): -7.92

Record 12
# ReSiSe2 (PBE-GGA, optimized geometry)
data_ReSiSe2
_space_group_name_H-M_alt 'P 1'
_space_group_IT_number 1
_space_group_name_Hall 'P 1'
_cell_length_a 4.180
_cell_length_b 4.180
_cell_length_c 5.954
_cell_angle_alpha 82.47
_cell_angle_beta 82.47
_cell_angle_gamma 44.26
loop_
_atom_site_label
_atom_site_type_symbol
_atom_site_fract_x
_atom_site_fract_y
_atom_site_fract_z
Si1 Si 0.750 0.750 0.750
Se1 Se 0.521 0.521 0.467
Se2 Se 0.979 0.979 0.033
Re1 Re 0.250 0.250 0.250
# Calculated volume (Å³ per atom): 18.0
# Energy relative to the elements, uncorrected (meV per atom): 459
# Space group: C2/m
# Total energy (eV per atom): -5.75

> What is the formula in the seventh record?

ErThScOs